Below is a geometry-optimized Ho2ThRh3 structure, with properties calculated at the GGA-PBE level.

Polymorph energy (0 for the lowest one): 0 meV per atom
M_tot: 0.000 μB per atom
Calculated density: 11.5 g/cm3
Calculated formation energy: -0.869 eV/atom

Lattice parameters (Å, degrees): 4.9131 4.9131 6.0038 90.00 90.00 120.00
Fractional coordinates of all 6 atoms:
Ho: 0.3333 0.6667 0.1550
Ho: 0.6667 0.3333 0.8450
Th: 0.0000 0.0000 0.5000
Rh: 0.0000 0.0000 0.0000
Rh: 0.3333 0.6667 0.6542
Rh: 0.6667 0.3333 0.3458

Below is a geometry-optimized HoThZnRh structure, with properties calculated at the GGA-PBE level.

M_tot: 0.000 μB per atom
Calculated density: 10.4 g/cm3
Calculated formation energy: -0.505 eV/atom

Lattice parameters (Å, degrees): 5.0311 5.0311 5.0311 60.00 60.00 60.00
Fractional coordinates of all 4 atoms:
Ho: 0.0000 0.0000 0.0000
Th: 0.5000 0.5000 0.5000
Zn: 0.2500 0.2500 0.2500
Rh: 0.7500 0.7500 0.7500